Entry 1:
Computed, not measured: a geometry-optimized ThNpNiS4 structure at the PBE level of DFT.

Computed properties:
The value obtained for the total energy is -7.4629 eV per atom. The calculation puts the uncorrected formation energy at -1.37 eV/atom. As for the crystal system: monoclinic.

a = 6.3607 Å, b = 5.9726 Å, c = 7.6727 Å
α = 90.00°, β = 107.58°, γ = 90.00°
Closest atoms and distances in Å follow each position.
Space group P2_1/m (No. 11)
Symmetry-distinct sites (fractional):
Th (0.2460, 0.2500, 0.4338) x2  6 S 2.73-2.91
Np (0.2655, 0.2500, 0.9436) x2  6 S 2.75-2.81
Ni (0.2633, 0.7500, 0.1881) x2  4 S 2.19-2.22
S (0.0689, 0.7500, 0.8986) x2  1 Ni 2.19
S (0.0701, 0.7500, 0.3850) x2  1 Ni 2.22
S (0.4821, 0.5107, 0.7496) x4  1 Ni 2.19



Entry 2:
Computed, not measured: a geometry-optimized NdDyLu structure at the PBE level of DFT.

Computed properties:
The value obtained for the total energy is -4.5509 eV per atom. The formation energy is 0.24 eV/f.u. As for the crystal system: trigonal.

a = 5.6488 Å, b = 5.6488 Å, c = 3.4633 Å
α = 90.00°, β = 90.00°, γ = 120.00°
Closest atoms and distances in Å follow each position.
Space group P3m1 (No. 156)
Symmetry-distinct sites (fractional):
Nd (0.0000, 0.0000, 0.0000) x1  2 Nd 3.46, 6 Lu 3.69, 6 Dy 3.69
Dy (0.6667, 0.3333, 0.4990) x1  3 Lu 3.26, 2 Dy 3.46
Lu (0.3333, 0.6667, 0.5014) x1  3 Dy 3.26, 2 Lu 3.46



Entry 3:
Computed, not measured: a geometry-optimized MgCuSi4O10 structure at the PBE level of DFT.

Computed properties:
The value obtained for the total energy is -7.2657 eV per atom. The calculation puts the uncorrected formation energy at -2.46 eV/atom. As for the crystal system: tetragonal.

a = 7.2352 Å, b = 7.2352 Å, c = 14.9019 Å
α = 90.00°, β = 90.00°, γ = 90.00°
Closest atoms and distances in Å follow each position.
Space group P4/ncc (No. 130, origin choice 2)
Symmetry-distinct sites (fractional):
Mg (0.2500, 0.7500, 0.0000) x4  4 O 2.15
Cu (0.2500, 0.2500, 0.0729) x4  4 O 1.98
Si (0.0084, 0.5821, 0.1442) x16  4 O 1.62-1.64
O (0.0038, 0.6956, 0.6231) x16  2 Si 1.63-1.64
O (0.0109, 0.6661, 0.4246) x16  1 Si 1.62
O (0.0516, 0.5516, 0.2500) x8  2 Si 1.62



Entry 4:
Computed, not measured: a geometry-optimized Pb13Au2 structure at the PBE level of DFT.

Computed properties:
The value obtained for the total energy is -3.6482 eV per atom. The formation energy is 0.04 eV/f.u. As for the crystal system: triclinic.

a = 6.2335 Å, b = 7.8902 Å, c = 9.9262 Å
α = 70.38°, β = 78.03°, γ = 82.20°
Closest atoms and distances in Å follow each position.
Space group P-1 (No. 2)
Symmetry-distinct sites (fractional):
Pb (0.0000, 0.0000, 0.0000) x1  12 Pb 3.44-3.67
Pb (0.0487, 0.4158, 0.7086) x2  2 Au 3.08-3.19, 1 Pb 3.41
Pb (0.2392, 0.0012, 0.6289) x2  2 Au 3.02-3.07, 2 Pb 3.35-3.38
Pb (0.2435, 0.1757, 0.2114) x2  1 Au 3.27, 8 Pb 3.35-3.64
Pb (0.2466, 0.6094, 0.9393) x2  12 Pb 3.44-3.67
Pb (0.4384, 0.3912, 0.3969) x2  2 Au 3.04-3.36, 4 Pb 3.33-3.38
Pb (0.4921, 0.7996, 0.1416) x2  1 Au 3.20, 7 Pb 3.37-3.54
Au (0.1766, 0.7725, 0.4456) x2  8 Pb 3.02-3.36



Entry 5:
Computed, not measured: a geometry-optimized NiC structure at the PBE level of DFT.

Computed properties:
The value obtained for the total energy is -6.4826 eV per atom. The formation energy is 2.04 eV/f.u. As for the crystal system: orthorhombic.

a = 5.0848 Å, b = 5.5882 Å, c = 6.4055 Å
α = 90.00°, β = 90.00°, γ = 90.00°
Closest atoms and distances in Å follow each position.
Space group P2_12_12_1 (No. 19)
Symmetry-distinct sites (fractional):
Ni (0.1291, 0.0805, 0.2422) x4  4 C 1.82-1.94
Ni (0.1577, 0.5988, 0.9546) x4  4 C 1.85-1.91
C (0.1869, 0.4104, 0.1931) x4  4 Ni 1.85-1.91
C (0.2137, 0.0956, 0.5380) x4  4 Ni 1.82-1.94



Entry 6:
Computed, not measured: a geometry-optimized Ba2InSe2Br2 structure at the PBE level of DFT.

Computed properties:
The value obtained for the total energy is -3.9660 eV per atom. The calculation puts the uncorrected formation energy at -1.55 eV/atom. As for the crystal system: tetragonal.

a = 5.4946 Å, b = 5.4946 Å, c = 16.9531 Å
α = 90.00°, β = 90.00°, γ = 90.00°
Closest atoms and distances in Å follow each position.
Space group I4/mmm (No. 139)
Symmetry-distinct sites (fractional):
Ba (0.0000, 0.0000, 0.1207) x4  1 Br 3.22, 4 Se 3.43
In (0.0000, 0.0000, 0.5000) x2  4 Se 2.75
Se (0.0000, 0.5000, 0.0000) x4  2 In 2.75
Br (0.0000, 0.0000, 0.3108) x4  1 In 3.21, 1 Ba 3.22



Entry 7:
Computed, not measured: a geometry-optimized ReHg2Pt2 structure at the PBE level of DFT.

Computed properties:
The value obtained for the total energy is -4.0434 eV per atom. The formation energy is 4.92 eV/f.u. As for the crystal system: tetragonal.

a = 3.6738 Å, b = 3.6738 Å, c = 14.8708 Å
α = 90.00°, β = 90.00°, γ = 90.00°
Closest atoms and distances in Å follow each position.
Space group I4/mmm (No. 139)
Symmetry-distinct sites (fractional):
Re (0.0000, 0.0000, 0.0000) x2  8 Hg 3.00
Hg (0.0000, 0.0000, 0.3989) x4  4 Pt 2.88, 4 Re 3.00, 1 Hg 3.01
Pt (0.0000, 0.5000, 0.2500) x4  4 Pt 2.60, 4 Hg 2.88



Entry 8:
Computed, not measured: a geometry-optimized PuThN structure at the PBE level of DFT.

Computed properties:
The value obtained for the total energy is -10.7991 eV per atom. The calculation puts the uncorrected formation energy at -0.77 eV/atom. As for the crystal system: monoclinic.

a = 3.5625 Å, b = 5.2354 Å, c = 6.9828 Å
α = 90.00°, β = 104.61°, γ = 90.00°
Closest atoms and distances in Å follow each position.
Space group P2_1/m (No. 11)
Symmetry-distinct sites (fractional):
Pu (0.0668, 0.2500, 0.1311) x2  2 N 2.41
Th (0.3171, 0.2500, 0.6355) x2  4 N 2.52-2.62
N (0.3133, 0.7500, 0.6282) x2  2 Pu 2.41, 4 Th 2.52-2.62



Entry 9:
Computed, not measured: a geometry-optimized Ba2As2Pd3 structure at the PBE level of DFT.

Computed properties:
The value obtained for the total energy is -4.8214 eV per atom. The formation energy is -5.03 eV/f.u. As for the crystal system: monoclinic.

a = 11.7472 Å, b = 4.4062 Å, c = 7.3330 Å
α = 90.00°, β = 114.49°, γ = 90.00°
Closest atoms and distances in Å follow each position.
Space group C2/m (No. 12)
Symmetry-distinct sites (fractional):
Ba (0.1218, 0.0000, 0.2670) x4  4 As 3.26-3.42, 5 Pd 3.32-3.59
As (0.1569, 0.0000, 0.7388) x4  3 Pd 2.53-2.58
Pd (0.0000, 0.5000, 0.5000) x2  2 Pd 2.81, 4 As 2.94
Pd (0.1599, 0.5000, 0.9099) x4  3 As 2.53-2.58, 1 Pd 2.81



Entry 10:
Computed, not measured: a geometry-optimized SbAsCl2 structure at the PBE level of DFT.

Computed properties:
The value obtained for the total energy is -2.8941 eV per atom. The calculation puts the uncorrected formation energy at 0.22 eV/atom. As for the crystal system: orthorhombic.

a = 6.1714 Å, b = 9.1664 Å, c = 3.1297 Å
α = 90.00°, β = 90.00°, γ = 90.00°
Closest atoms and distances in Å follow each position.
Space group Cmmm (No. 65)
Symmetry-distinct sites (fractional):
Sb (0.0000, 0.0000, 0.0000) x2  2 As 3.09, 2 Sb 3.13, 8 Cl 3.17
As (0.0000, 0.5000, 0.0000) x2  2 Sb 3.09, 2 As 3.13, 8 Cl 3.17
Cl (0.2500, 0.2500, 0.5000) x4  4 Cl 3.09-3.13, 4 Sb 3.17, 4 As 3.17



Entry 11:
Computed, not measured: a geometry-optimized Fe2SiAs structure at the PBE level of DFT.

Computed properties:
The value obtained for the total energy is -6.5839 eV per atom. The calculation puts the uncorrected formation energy at 0.17 eV/atom. As for the crystal system: tetragonal.

a = 3.7401 Å, b = 3.7401 Å, c = 15.6699 Å
α = 90.00°, β = 90.00°, γ = 90.00°
Closest atoms and distances in Å follow each position.
Space group I-42d (No. 122)
Symmetry-distinct sites (fractional):
Fe (0.2476, 0.2500, 0.1250) x8  2 Si 2.36, 2 As 2.37, 2 Fe 2.63
Si (0.0000, 0.0000, 0.0000) x4  4 Fe 2.36
As (0.0000, 0.0000, 0.5000) x4  4 Fe 2.37, 4 Si 2.64



Entry 12:
Computed, not measured: a geometry-optimized PmPaSiPd structure at the PBE level of DFT.

Computed properties:
The value obtained for the total energy is -6.5496 eV per atom. The calculation puts the uncorrected formation energy at -0.33 eV/atom. As for the crystal system: cubic.

a = 7.1351 Å, b = 7.1351 Å, c = 7.1351 Å
α = 90.00°, β = 90.00°, γ = 90.00°
Closest atoms and distances in Å follow each position.
Space group F-43m (No. 216)
Symmetry-distinct sites (fractional):
Pm (0.0000, 0.0000, 0.0000) x4  4 Si 3.09, 4 Pd 3.09
Pa (0.0000, 0.0000, 0.5000) x4  4 Pd 3.09, 4 Si 3.09
Si (0.2500, 0.2500, 0.2500) x4  4 Pa 3.09, 4 Pm 3.09
Pd (0.2500, 0.2500, 0.7500) x4  4 Pm 3.09, 4 Pa 3.09



Entry 13:
Computed, not measured: a geometry-optimized MgScTlBr6 structure at the PBE level of DFT.

Computed properties:
The value obtained for the total energy is -3.7064 eV per atom. The calculation puts the uncorrected formation energy at -1.45 eV/atom. As for the crystal system: trigonal.

a = 6.9850 Å, b = 6.9850 Å, c = 14.6157 Å
α = 90.00°, β = 90.00°, γ = 120.00°
Closest atoms and distances in Å follow each position.
Space group P-31c (No. 163)
Symmetry-distinct sites (fractional):
Mg (0.3333, 0.6667, 0.2500) x2  6 Br 2.70
Sc (0.3333, 0.6667, 0.7500) x2  6 Br 2.67
Tl (0.0000, 0.0000, 0.0000) x2  6 Br 3.36
Br (0.0027, 0.3747, 0.6447) x12  1 Sc 2.67, 1 Mg 2.70



Entry 14:
Computed, not measured: a geometry-optimized AcTbY6Er2 structure at the PBE level of DFT.

Computed properties:
The value obtained for the total energy is -5.5367 eV per atom. The formation energy is 1.28 eV/f.u. As for the crystal system: monoclinic.

a = 9.3146 Å, b = 15.2287 Å, c = 9.5196 Å
α = 90.00°, β = 94.91°, γ = 90.00°
Closest atoms and distances in Å follow each position.
Space group C2/c (No. 15)
Symmetry-distinct sites (fractional):
Ac (0.0000, 0.0326, 0.2500) x4  4 Er 3.45-3.60, 6 Y 3.64-3.81
Tb (0.0000, 0.4133, 0.7500) x4  6 Y 3.46-3.51, 4 Er 3.55-3.83
Y (0.0599, 0.1845, 0.9425) x8  7 Y 3.45-3.82, 1 Er 3.56, 2 Ac 3.80-3.81
Y (0.0985, 0.3874, 0.1123) x8  4 Y 3.26-3.49, 3 Er 3.29-3.47, 2 Tb 3.46-3.51
Y (0.2187, 0.2284, 0.3197) x8  5 Y 3.26-3.65, 2 Er 3.44-3.51, 1 Tb 3.50, 1 Ac 3.64
Er (0.2422, 0.4445, 0.4478) x8  6 Y 3.29-3.56, 2 Ac 3.45-3.60, 1 Tb 3.55



Entry 15:
Computed, not measured: a geometry-optimized GaSnSbSe structure at the PBE level of DFT.

Computed properties:
The value obtained for the total energy is -3.8550 eV per atom. The calculation puts the uncorrected formation energy at -0.20 eV/atom. As for the crystal system: trigonal.

a = 4.2039 Å, b = 4.2039 Å, c = 8.2725 Å
α = 90.00°, β = 90.00°, γ = 120.00°
Closest atoms and distances in Å follow each position.
Space group P3m1 (No. 156)
Symmetry-distinct sites (fractional):
Ga (0.0000, 0.0000, 0.0000) x1  3 Se 2.61, 1 Sn 2.67
Sn (0.0000, 0.0000, 0.6776) x1  1 Ga 2.67, 3 Sb 2.81
Sb (0.6667, 0.3333, 0.5063) x1  3 Sn 2.81
Se (0.3333, 0.6667, 0.1165) x1  3 Ga 2.61



Entry 16:
Computed, not measured: a geometry-optimized Cu3TePt structure at the PBE level of DFT.

Computed properties:
The value obtained for the total energy is -3.6379 eV per atom. The calculation puts the uncorrected formation energy at 0.66 eV/atom. As for the crystal system: cubic.

a = 4.7130 Å, b = 4.7130 Å, c = 4.7130 Å
α = 90.00°, β = 90.00°, γ = 90.00°
Closest atoms and distances in Å follow each position.
Space group Pm-3m (No. 221)
Symmetry-distinct sites (fractional):
Cu (0.0000, 0.0000, 0.5000) x3  2 Pt 2.36
Te (0.5000, 0.5000, 0.5000) x1  12 Cu 3.33
Pt (0.0000, 0.0000, 0.0000) x1  6 Cu 2.36



Entry 17:
Computed, not measured: a geometry-optimized ScZn2Re structure at the PBE level of DFT.

Computed properties:
The value obtained for the total energy is -5.2644 eV per atom. The formation energy is 0.27 eV/f.u. As for the crystal system: orthorhombic.

a = 2.7985 Å, b = 4.0905 Å, c = 5.6693 Å
α = 90.00°, β = 90.00°, γ = 90.00°
Closest atoms and distances in Å follow each position.
Space group Pmm2 (No. 25)
Symmetry-distinct sites (fractional):
Sc (0.0000, 0.0000, 0.0000) x1  6 Zn 2.76-2.93, 2 Sc 2.80, 4 Re 2.85
Zn (0.0000, 0.0000, 0.5138) x1  2 Sc 2.76-2.91, 6 Zn 2.80-2.83, 4 Re 2.82
Zn (0.5000, 0.5000, 0.2744) x1  2 Re 2.71-2.96, 6 Zn 2.80-2.83, 4 Sc 2.93
Re (0.5000, 0.5000, 0.7530) x1  6 Zn 2.71-2.96, 2 Re 2.80, 4 Sc 2.85



Entry 18:
Computed, not measured: a geometry-optimized ZrNbAl2 structure at the PBE level of DFT.

Computed properties:
The value obtained for the total energy is -6.4443 eV per atom. The formation energy is 0.33 eV/f.u. As for the crystal system: trigonal.

a = 3.5999 Å, b = 3.5999 Å, c = 21.2173 Å
α = 90.00°, β = 90.00°, γ = 120.00°
Closest atoms and distances in Å follow each position.
Space group R-3m (No. 166, hexagonal axes)
Symmetry-distinct sites (fractional):
Zr (0.0000, 0.0000, 0.0000) x3  6 Al 2.81
Nb (0.0000, 0.0000, 0.5000) x3  6 Al 2.65
Al (0.0000, 0.0000, 0.2444) x6  3 Nb 2.65, 3 Zr 2.81



Entry 19:
Computed, not measured: a geometry-optimized Hg2IrBr structure at the PBE level of DFT.

Computed properties:
The value obtained for the total energy is -2.0451 eV per atom. The calculation puts the uncorrected formation energy at 0.74 eV/atom. As for the crystal system: tetragonal.

a = 4.2784 Å, b = 4.2784 Å, c = 9.0134 Å
α = 90.00°, β = 90.00°, γ = 90.00°
Closest atoms and distances in Å follow each position.
Space group I-4m2 (No. 119)
Symmetry-distinct sites (fractional):
Hg (0.0000, 0.0000, 0.0000) x2  4 Br 3.03, 4 Hg 3.11, 4 Ir 3.11
Hg (0.0000, 0.5000, 0.2500) x2  4 Ir 3.03, 4 Hg 3.11, 4 Br 3.11
Ir (0.0000, 0.5000, 0.7500) x2  8 Hg 3.03-3.11, 4 Br 3.11
Br (0.0000, 0.0000, 0.5000) x2  8 Hg 3.03-3.11, 4 Ir 3.11



Entry 20:
Computed, not measured: a geometry-optimized Dy2Al5Fe5 structure at the PBE level of DFT.

Computed properties:
The value obtained for the total energy is -6.1514 eV per atom. The formation energy is -3.59 eV/f.u. As for the crystal system: orthorhombic.

a = 4.0675 Å, b = 5.1366 Å, c = 9.1032 Å
α = 90.00°, β = 90.00°, γ = 90.00°
Closest atoms and distances in Å follow each position.
Space group Pmmm (No. 47)
Symmetry-distinct sites (fractional):
Dy (0.0000, 0.0000, 0.0000) x1  6 Al 2.86-2.99
Dy (0.0000, 0.5000, 0.5000) x1  10 Al 3.01-3.28, 8 Fe 3.32
Al (0.0000, 0.0000, 0.3146) x2  4 Fe 2.50, 2 Al 2.64
Al (0.0000, 0.5000, 0.1690) x2  6 Fe 2.49-2.55
Al (0.5000, 0.0000, 0.5000) x1  4 Al 2.64, 4 Fe 2.66
Fe (0.5000, 0.2566, 0.2465) x4  5 Al 2.49-2.66, 3 Fe 2.50-2.64
Fe (0.5000, 0.5000, 0.0000) x1  4 Al 2.55, 4 Fe 2.57



Entry 21:
Computed, not measured: a geometry-optimized Tb7YTm3 structure at the PBE level of DFT.

Computed properties:
The value obtained for the total energy is -4.6169 eV per atom. The formation energy is 1.50 eV/f.u. As for the crystal system: monoclinic.

a = 6.9838 Å, b = 5.5142 Å, c = 9.8220 Å
α = 90.00°, β = 110.20°, γ = 90.00°
Closest atoms and distances in Å follow each position.
Space group P2/m (No. 10)
Symmetry-distinct sites (fractional):
Tb (0.0000, 0.0000, 0.0000) x1  4 Tm 3.38
Tb (0.1474, 0.5000, 0.2914) x2  3 Tb 3.24-3.56, 2 Tm 3.31-3.33
Tb (0.3232, 0.5000, 0.6424) x2  5 Tb 3.24-3.56, 3 Tm 3.50-3.61, 2 Y 3.53
Tb (0.4204, 0.0000, 0.8310) x2  3 Tb 3.12-3.26, 1 Tm 3.48
Y (0.0000, 0.0000, 0.5000) x1  2 Tm 3.49, 10 Tb 3.53-3.78
Tm (0.2790, 0.5000, 0.9980) x2  1 Tm 3.07, 4 Tb 3.31-3.38
Tm (0.5000, 0.0000, 0.5000) x1  10 Tb 3.48-3.79, 2 Y 3.49